Entry 1:
{
  "formula": "ReAsBr2",
  "functional": "GGA-PBEsol",
  "state": "relaxed",
  "lattice_angstrom": [[-0.883, 3.318, -3.241], [-6.145, -0.940, -2.727], [-3.003, 5.367, 2.873]],
  "species": ["Re", "Re", "As", "As", "Br", "Br", "Br", "Br"],
  "frac_coords": [[0.750, 0.500, 0.500], [0.000, 0.000, 0.000], [0.250, 0.500, 0.500], [0.500, 0.000, 0.000], [0.993, 0.132, 0.632], [0.757, 0.868, 0.368], [0.375, 0.632, 0.868], [0.875, 0.368, 0.132]],
  "space_group": "No. 122",
  "magmom_total_mub_per_fu": 0.0,
  "e_tot_ev_per_fu": -20.81
}

Entry 2:
{
  "formula": "ReAsBr2",
  "functional": "GGA-PBEsol",
  "state": "relaxed",
  "lattice_angstrom": [[-3.990, -2.350, 0.291], [0.042, -4.638, 0.116], [-1.097, -2.233, 3.916]],
  "species": ["Re", "As", "Br", "Br"],
  "frac_coords": [[0.000, 0.000, 0.000], [0.500, 0.500, 0.500], [0.250, 0.250, 0.250], [0.750, 0.750, 0.750]],
  "space_group": "No. 225",
  "magmom_total_mub_per_fu": 0.0,
  "e_tot_ev_per_fu": -17.22
}

Entry 3:
{
  "formula": "Re2AsBr",
  "functional": "GGA-PBEsol",
  "state": "relaxed",
  "lattice_angstrom": [[-0.175, 1.528, -3.823], [-0.798, -4.658, 0.395], [-3.940, -1.172, -0.288]],
  "species": ["Re", "Re", "As", "Br"],
  "frac_coords": [[0.000, 0.000, 0.000], [0.250, 0.500, 0.250], [0.500, 0.000, 0.500], [0.750, 0.500, 0.750]],
  "space_group": "No. 119",
  "magmom_total_mub_per_fu": 0.0,
  "e_tot_ev_per_fu": -28.99
}

Please write out number 3 again, unchanged.
{
  "formula": "Re2AsBr",
  "functional": "GGA-PBEsol",
  "state": "relaxed",
  "lattice_angstrom": [[-0.175, 1.528, -3.823], [-0.798, -4.658, 0.395], [-3.940, -1.172, -0.288]],
  "species": ["Re", "Re", "As", "Br"],
  "frac_coords": [[0.000, 0.000, 0.000], [0.250, 0.500, 0.250], [0.500, 0.000, 0.500], [0.750, 0.500, 0.750]],
  "space_group": "No. 119",
  "magmom_total_mub_per_fu": 0.0,
  "e_tot_ev_per_fu": -28.99
}